Material: Rb2FeHF6
Method: DFT, PBE+U
State: relaxed

a b c (Å): 6.2461 6.2430 6.2677
angles (deg): 119.49 119.53 96.43
Each line ends with the local moment (μB).
Positions (direct):
F 0.6862 0.6865 0.3907  0.01
F 0.8048 0.2030 0.9684  -0.02
F 0.2599 0.2605 0.0208  -0.01
F 0.2027 0.8055 0.9690  -0.02
F 0.7535 0.7539 0.9185  -0.03
F 0.2407 0.2416 0.4696  0.12
Rb 0.2361 0.7826 0.5049  0.00
Rb 0.7823 0.2366 0.5049  0.00
Fe 0.0264 0.0269 0.0241  2.90
H 0.5065 0.5069 0.2270  0.00

Magnetic moment, μB/f.u.: 3.01
Density of states at the Fermi level, states/eV/f.u.: 0.00
Raw total energy, eV/atom: -4.544